Entry from Alexandria via LeMat-Bulk: FeIF3 after structural relaxation (PBE+U).

Results
- Energy above the most stable polymorph in this dataset: 0.000 eV/atom

abc: 8.268 5.625 11.401
angles: 90.00 126.58 90.00
Atoms (fractional coordinates):
Fe: 0.025 0.021 0.144
Fe: 0.025 0.479 0.644
Fe: 0.975 0.521 0.356
Fe: 0.975 0.979 0.856
I: 0.429 0.033 0.080
I: 0.429 0.467 0.580
I: 0.571 0.533 0.420
I: 0.571 0.967 0.920
F: 0.017 0.722 0.515
F: 0.017 0.778 0.015
F: 0.024 0.718 0.768
F: 0.024 0.782 0.268
F: 0.301 0.053 0.252
F: 0.301 0.447 0.752
F: 0.699 0.553 0.248
F: 0.699 0.947 0.748
F: 0.976 0.218 0.732
F: 0.976 0.282 0.232
F: 0.983 0.222 0.985
F: 0.983 0.278 0.485